Entry 1:
PaNb2Sb: optimized geometry, PBE.

Cell and atoms, written as extended XYZ:
```
4
Lattice="-1.092 -2.812 2.260 4.269 -0.088 1.954 -1.405 3.126 3.210" Properties=species:S:1:pos:R:3 pbc="T T T"
Nb 2.134 -0.044 0.977
Nb -0.702 1.563 1.605
Pa -0.546 -1.406 1.130
Sb 0.886 0.113 3.712
```

Calculated values
**Crystal system**: tetragonal
**Distance to the lowest polymorph of the same formula**: 0 meV/atom
**ΔE_f (raw)**: -0.132 eV per atom

Entry 2:
LaInSi2: optimized geometry, PBE.

Cell and atoms, written as extended XYZ:
```
4
Lattice="6.035 -0.008 -0.010 4.812 3.643 -0.010 1.477 0.495 4.268" Properties=species:S:1:pos:R:3 pbc="T T T"
Si 0.406 0.136 0.005
Si 8.566 2.871 3.357
La 3.331 1.116 0.839
In 6.183 2.072 2.170
```

Calculated values
**Crystal system**: monoclinic
**ΔE_f (raw)**: -0.293 eV per atom

Entry 3:
NaCa2LaMo: optimized geometry, PBE.

Cell and atoms, written as extended XYZ:
```
5
Lattice="-1.545 -4.790 3.757 1.257 -3.096 -3.431 5.860 -0.121 2.255" Properties=species:S:1:pos:R:3 pbc="T T T"
Ca -0.772 -2.395 1.879
Ca 2.930 -0.060 1.128
Mo 0.628 -1.548 -1.715
Na 2.786 -4.003 1.291
La 0.000 0.000 0.000
```

Calculated values
**E_form**: 980 meV/atom
**Crystal system**: tetragonal

Entry 4:
Mg6Ga3Hg: optimized geometry, PBE.

Cell and atoms, written as extended XYZ:
```
20
Lattice="4.231 0.000 0.000 0.000 10.036 -0.682 0.000 -3.958 10.473" Properties=species:S:1:pos:R:3 pbc="T T T"
Mg 3.173 -0.695 4.618
Mg 3.173 5.172 7.742
Mg 3.173 3.352 1.250
Mg 1.058 2.725 8.540
Mg 1.058 0.905 2.048
Mg 3.173 7.622 0.202
Mg 1.058 0.009 7.061
Mg 1.058 6.773 5.172
Mg 1.058 -1.545 9.588
Mg 3.173 2.280 6.153
Mg 1.058 3.797 3.637
Mg 3.173 6.068 2.730
Ga 1.058 5.267 9.667
Ga 1.058 1.231 4.666
Ga 3.173 0.810 0.123
Ga 1.058 5.217 0.669
Ga 3.173 4.846 5.124
Ga 3.173 0.860 9.121
Hg 3.173 -1.990 7.488
Hg 1.058 8.067 2.303
```

Calculated values
**E_form**: -79 meV/atom
**Crystal system**: monoclinic
**Distance to the lowest polymorph of the same formula**: 49 meV/atom

Entry 5:
Rb2Hg13: optimized geometry, PBE.

Cell and atoms, written as extended XYZ:
```
15
Lattice="-1.489 8.540 3.622 0.331 1.281 9.301 6.812 4.722 3.852" Properties=species:S:1:pos:R:3 pbc="T T T"
Hg 0.281 8.173 5.214
Hg 1.486 3.370 8.972
Hg 5.029 8.904 9.768
Hg 4.168 11.173 7.802
Hg 5.373 6.370 11.560
Hg 4.911 8.449 6.467
Hg 0.097 8.669 8.292
Hg 0.501 9.021 11.369
Hg 0.743 6.094 10.307
Hg 0.626 5.639 7.007
Hg 5.153 5.522 5.406
Hg 2.827 7.271 8.387
Hg 5.557 5.873 8.482
Rb 3.663 10.791 12.617
Rb 1.991 3.752 4.157
```

Calculated values
**E_form**: -85 meV/atom
**Crystal system**: trigonal
**Distance to the lowest polymorph of the same formula**: 9 meV/atom

Entry 6:
Ce5CdIn2: optimized geometry, PBE.

Cell and atoms, written as extended XYZ:
```
16
Lattice="4.518 0.000 0.000 0.000 6.800 0.000 0.000 0.000 13.942" Properties=species:S:1:pos:R:3 pbc="T T T"
Ce 2.259 5.114 1.919
Ce 0.000 0.382 3.792
Ce 0.000 3.400 6.971
Ce 0.000 3.782 3.179
Ce 2.259 1.686 12.023
Ce 0.000 6.418 10.150
Ce 2.259 1.714 5.052
Ce 0.000 0.000 0.000
Ce 0.000 3.018 10.763
Ce 2.259 5.085 8.890
In 2.259 5.062 12.271
In 2.259 5.138 5.300
In 2.259 1.738 1.671
In 2.259 1.662 8.642
Cd 0.000 0.000 6.971
Cd 0.000 3.400 0.000
```

Calculated values
**E_form**: -210 meV/atom
**Crystal system**: orthorhombic

no.,DFT total energy (eV per cell)
1,-34.3
2,-19.7
3,-16.2
4,-39.5
5,-7.1
6,-75.5